A plane-wave DFT calculation with meta-GGA SCAN was carried out for Au2BrCl at its PBEsol-relaxed geometry.

Computed properties:
Its formation energy (no corrections) is -181.7 meV per atom.

Cell lengths 3.7081, 3.5386, 7.5251 Å; angles 90.00, 91.48, 90.00 degrees
Space group Pm (No. 6)
One atom of each set of equivalent atoms:
Au 0.0000 0.0000 0.0000 [1 per cell]
Au 0.2064 0.5000 0.2263 [1 per cell]
Br 0.8132 0.5000 0.7820 [1 per cell]
Cl 0.3786 0.0000 0.4260 [1 per cell]

***

A plane-wave DFT calculation with meta-GGA SCAN was carried out for CsTlCuF6 at its PBEsol-relaxed geometry.

Computed properties:
Its formation energy (no corrections) is -2136.4 meV per atom. The value obtained for the density of states at the Fermi level is 2.302 states/eV per cell.

Cell lengths 7.4414, 7.8934, 10.6385 Å; angles 90.00, 90.00, 90.00 degrees
Space group Imma (No. 74)
One atom of each set of equivalent atoms:
Cs 0.0000 0.2500 0.0854 [4 per cell]
Tl 0.0000 0.0000 0.5000 [4 per cell]
Cu 0.2500 0.2500 0.7500 [4 per cell]
F 0.0000 0.2500 0.3994 [4 per cell]
F 0.0000 0.2500 0.7793 [4 per cell]
F 0.2271 0.0693 0.6166 [16 per cell]

***

A plane-wave DFT calculation with meta-GGA SCAN was carried out for MnIr2W at its PBEsol-relaxed geometry.

Computed properties:
The value obtained for the density of states at the Fermi level is 5.321 states/eV per cell. The value obtained for the energy above the lowest structure with this stoichiometry is 0.19 eV per formula unit. The energy relative to the elements comes out at -0.35 eV/atom.

Cell lengths 5.3881, 7.5583, 2.7130 Å; angles 90.00, 90.00, 90.00 degrees
Space group Cmmm (No. 65)
One atom of each set of equivalent atoms:
Mn 0.0000 0.0000 0.0000 [2 per cell]
Ir 0.2500 0.2500 0.5000 [4 per cell]
W 0.0000 0.5000 0.0000 [2 per cell]